ScFeP2Cl | PBE | relaxed

Lattice parameters (Å, degrees): 4.3508 4.3508 4.8311 90.00 90.00 90.00
Last column: nearest neighbours and their distance in Å.
Positions (direct):
P (0.0000, 0.5000, 0.0000)  2 Fe 2.18
Cl (0.0000, 0.0000, 0.5000)  2 Fe 2.42
Fe (0.0000, 0.0000, 0.0000)  4 P 2.18, 2 Cl 2.42
P (0.5000, 0.0000, 0.0000)  2 Fe 2.18
Sc (0.5000, 0.5000, 0.5000)  4 Cl 3.08, 8 P 3.25

**DOS(E_F)**: 2.7 states/eV/cell
**Calculated total energy**: -5.609 eV/atom
**Formation energy without anion corrections**: -0.117 eV per atom